Here is crystalline GaOsNF2 at its relaxed geometry from the Alexandria database. Energies are from GGA-PBE.

## Properties
Formation energy from raw total energies: -0.42 eV/atom
Space group: P4/mmm (123)

Cell lengths 4.375, 4.375, 3.755 Å; angles 90.00, 90.00, 90.00 degrees
Atoms (fractional coordinates):
Ga: 0.000 0.000 0.000
Os: 0.500 0.500 0.500
N: 0.500 0.500 0.000
F: 0.000 0.500 0.500
F: 0.500 0.000 0.500


Here is crystalline GaOsNF2 at its relaxed geometry from the Alexandria database. Energies are from GGA-PBE.

## Properties
Formation energy from raw total energies: 0.25 eV/atom
Space group: P4/mmm (123)

Cell lengths 3.822, 3.822, 4.157 Å; angles 90.00, 90.00, 90.00 degrees
Atoms (fractional coordinates):
Ga: 0.000 0.000 0.000
Os: 0.500 0.500 0.500
N: 0.000 0.000 0.500
F: 0.000 0.500 0.000
F: 0.500 0.000 0.000


Here is crystalline GaOsN2F at its relaxed geometry from the Alexandria database. Energies are from GGA-PBE.

## Properties
Formation energy from raw total energies: 0.18 eV/atom
Space group: P4/mmm (123)

Cell lengths 3.845, 3.845, 4.464 Å; angles 90.00, 90.00, 90.00 degrees
Atoms (fractional coordinates):
Ga: 0.000 0.000 0.000
Os: 0.500 0.500 0.500
N: 0.000 0.500 0.500
N: 0.500 0.000 0.500
F: 0.500 0.500 0.000


Here is crystalline GaPNF2 at its relaxed geometry from the Alexandria database. Energies are from GGA-PBE.

## Properties
Formation energy from raw total energies: -0.61 eV/atom
Space group: P4/mmm (123)

Cell lengths 4.516, 4.516, 3.316 Å; angles 90.00, 90.00, 90.00 degrees
Atoms (fractional coordinates):
Ga: 0.000 0.000 0.000
P: 0.500 0.500 0.500
N: 0.500 0.500 0.000
F: 0.000 0.500 0.500
F: 0.500 0.000 0.500


The lowest formation energy from raw total energies belongs to which entry?
GaPNF2


formation energy from raw total energies of number 2 (GaOsNF2)?
0.25 eV/atom